No. 1
4
Lattice="1.792 -2.258 0.000 1.792 2.258 0.000 0.000 0.000 9.034" Properties=species:S:1:pos:R:3 comment="Ta2ZnHg (PBE-GGA, relaxed)" ef_mev_per_atom=134 de_polymorph_mev_per_atom=0.0 pbc="T T T"
Ta 0.000 0.000 0.000
Ta 1.792 0.000 2.219
Zn 1.792 0.000 6.911
Hg 0.000 0.000 4.630

No. 2
7
Lattice="-2.662 2.662 8.212 2.662 -2.662 8.212 2.662 2.662 -8.212" Properties=species:S:1:pos:R:3 comment="MgIn2Br4 (PBE-GGA, relaxed)" e_form_raw_ev_per_atom=-0.96 de_polymorph_mev_per_atom=38.4 pbc="T T T"
Mg 0.000 0.000 0.000
In 0.000 0.000 5.885
In 0.000 0.000 10.538
Br 2.662 0.000 0.000
Br 0.000 0.000 2.675
Br 0.000 2.662 0.000
Br 0.000 0.000 13.748

No. 3
4
Lattice="2.876 0.000 0.000 0.000 3.800 0.000 0.000 0.000 6.693" Properties=species:S:1:pos:R:3 comment="LaFeIr2 (PBE-GGA, relaxed)" ef_mev_per_atom=67 pbc="T T T"
La 0.000 0.000 0.000
Fe 1.438 1.900 2.302
Ir 0.000 0.000 3.294
Ir 1.438 1.900 4.775

Please write out number 3 again, unchanged.
4
Lattice="2.876 0.000 0.000 0.000 3.800 0.000 0.000 0.000 6.693" Properties=species:S:1:pos:R:3 comment="LaFeIr2 (PBE-GGA, relaxed)" ef_mev_per_atom=67 pbc="T T T"
La 0.000 0.000 0.000
Fe 1.438 1.900 2.302
Ir 0.000 0.000 3.294
Ir 1.438 1.900 4.775